1.
Material: ZrBi2Mo
Method: DFT, PBE
State: relaxed

Summary:
Formation energy from the elements, meV/atom: 238

Cell: 7.085 7.085 7.085 Å, 90.00 90.00 90.00°
Space group Fm-3m (No. 225)
One atom of each set of equivalent atoms:
Zr (0.000, 0.000, 0.000) [4 per cell]
Bi (0.250, 0.250, 0.250) [8 per cell]
Mo (0.000, 0.000, 0.500) [4 per cell]

=====

2.
Material: CaRhCl6
Method: DFT, PBE
State: relaxed

Summary:
E_form (uncorrected), meV per atom: -1131

Cell: 8.158 10.304 6.733 Å, 90.00 114.47 90.00°
Space group C2/m (No. 12)
One atom of each set of equivalent atoms:
Ca (0.000, 0.000, 0.000) [2 per cell]
Rh (0.000, 0.000, 0.500) [2 per cell]
Cl (0.127, 0.161, 0.769) [8 per cell]
Cl (0.243, 0.500, 0.573) [4 per cell]